DFT (PBE) results for a geometry-optimized HoBeCo structure.

The structure in POSCAR format:
```
HoBeCo
1.0
6.683 0.000 0.000
0.000 4.038 0.000
0.000 0.000 6.802
Ho Be Co
4 4 4
Direct
0.010 0.250 0.196
0.490 0.750 0.696
0.510 0.250 0.304
0.990 0.750 0.804
0.181 0.250 0.589
0.319 0.750 0.089
0.681 0.250 0.911
0.819 0.750 0.411
0.162 0.750 0.434
0.338 0.250 0.934
0.662 0.750 0.066
0.838 0.250 0.566
```

Results
As for the calculated total energy: -15.955 eV per formula unit. The calculation puts the magnetic moment at 0.0000 μB per atom. For the formation energy, the calculation gives -4.2 kcal/mol of atoms. As for the calculated volume: 15.3 Å³/atom. The distance to the lowest polymorph of the same formula comes out at 0.18 eV/f.u.